A relaxed structure of MgCrW, computed with PBEsol.

abc: 2.5960 2.5960 6.9660
angles: 100.74 100.74 90.00
Element x y z (fractional)
Cr 0.9992 0.9992 0.9984
W 0.3387 0.3387 0.6774
Mg 0.6621 0.6621 0.3243

Output
- Energy of formation: 64.01 kJ/mol of atoms
- Offset from the most stable computed form: 0 meV/atom
- M_tot: 0.00 μB/cell
- Uncorrected energy: -23.8 eV for the cell shown